# 1
Density functional theory data (PBE) for crystalline ZrIn2Ga at its relaxed geometry.

Computed properties:
DFT formation energy = -0.24 eV per atom
Symmetry = No. 123
DOS at the Fermi energy = 0.475 states/eV/atom

Unit cell a=4.2504 b=4.2504 c=4.6820 alpha=90.00 beta=90.00 gamma=90.00
Sites, in units of the cell vectors:
1 Zr 0.0000 0.0000 0.0000
2 In 0.0000 0.5000 0.5000
3 In 0.5000 0.0000 0.5000
4 Ga 0.5000 0.5000 0.0000



# 2
Density functional theory data (PBE) for crystalline LaIn12Hg6 at its relaxed geometry.

Computed properties:
DFT formation energy = -0.04 eV per atom
Symmetry = No. 148
DOS at the Fermi energy = 0.454 states/eV/atom

Unit cell a=8.1021 b=8.1021 c=8.1021 alpha=89.16 beta=89.16 gamma=89.16
Sites, in units of the cell vectors:
1 La 0.0000 0.0000 0.0000
2 In 0.0138 0.7274 0.7000
3 In 0.2209 0.4533 0.5445
4 In 0.2726 0.3000 0.9862
5 In 0.3000 0.9862 0.2726
6 In 0.4533 0.5445 0.2209
7 In 0.4555 0.7791 0.5467
8 In 0.5445 0.2209 0.4533
9 In 0.5467 0.4555 0.7791
10 In 0.7000 0.0138 0.7274
11 In 0.7274 0.7000 0.0138
12 In 0.7791 0.5467 0.4555
13 In 0.9862 0.2726 0.3000
14 Hg 0.0847 0.6325 0.1650
15 Hg 0.1650 0.0847 0.6325
16 Hg 0.3675 0.8350 0.9153
17 Hg 0.6325 0.1650 0.0847
18 Hg 0.8350 0.9153 0.3675
19 Hg 0.9153 0.3675 0.8350



# 3
Density functional theory data (PBE) for crystalline FeHgMo2Ir at its relaxed geometry.

Computed properties:
DFT formation energy = 1.37 eV per atom
Symmetry = No. 123
DOS at the Fermi energy = 1.248 states/eV/atom

Unit cell a=4.7665 b=4.7665 c=4.6550 alpha=90.00 beta=90.00 gamma=90.00
Sites, in units of the cell vectors:
1 Fe 0.0000 0.0000 0.0000
2 Hg 0.5000 0.5000 0.0000
3 Mo 0.0000 0.5000 0.5000
4 Mo 0.5000 0.0000 0.5000
5 Ir 0.0000 0.0000 0.5000



# 4
Density functional theory data (PBE) for crystalline Cu2IrSe4 at its relaxed geometry.

Computed properties:
Symmetry = No. 91
Raw formation energy = -0.166 eV/atom
DOS at the Fermi energy = 0.841 states/eV/atom

Unit cell a=7.3427 b=7.3427 c=10.4301 alpha=90.00 beta=90.00 gamma=90.00
Sites, in units of the cell vectors:
1 Cu 0.0000 0.2437 0.0000
2 Cu 0.0000 0.7563 0.5000
3 Cu 0.2437 0.0000 0.7500
4 Cu 0.2574 0.2574 0.3750
5 Cu 0.2574 0.7426 0.1250
6 Cu 0.7426 0.2574 0.6250
7 Cu 0.7426 0.7426 0.8750
8 Cu 0.7563 0.0000 0.2500
9 Ir 0.2368 0.5000 0.7500
10 Ir 0.5000 0.2368 0.0000
11 Ir 0.5000 0.7632 0.5000
12 Ir 0.7632 0.5000 0.2500
13 Se 0.0092 0.2512 0.7585
14 Se 0.0092 0.7488 0.7415
15 Se 0.2512 0.0092 0.9915
16 Se 0.2512 0.9908 0.5085
17 Se 0.2527 0.4746 0.9895
18 Se 0.2527 0.5254 0.5105
19 Se 0.4746 0.2527 0.7605
20 Se 0.4746 0.7472 0.7395
21 Se 0.5254 0.2527 0.2395
22 Se 0.5254 0.7472 0.2605
23 Se 0.7472 0.4746 0.0105
24 Se 0.7472 0.5254 0.4895
25 Se 0.7488 0.0092 0.0085
26 Se 0.7488 0.9908 0.4915
27 Se 0.9908 0.2512 0.2415
28 Se 0.9908 0.7488 0.2585



# 5
Density functional theory data (PBE) for crystalline LaZrSi4 at its relaxed geometry.

Computed properties:
ΔE to the lowest computed polymorph = 0.000 eV per atom
Symmetry = No. 55
Raw formation energy = -0.542 eV/atom
DOS at the Fermi energy = 0.423 states/eV/atom

Unit cell a=7.6557 b=15.6968 c=3.9086 alpha=90.00 beta=90.00 gamma=90.00
Sites, in units of the cell vectors:
1 La 0.1270 0.1575 0.0000
2 La 0.3730 0.6575 0.0000
3 La 0.6270 0.3425 0.0000
4 La 0.8730 0.8425 0.0000
5 Zr 0.1295 0.4125 0.0000
6 Zr 0.3705 0.9125 0.0000
7 Zr 0.6295 0.0875 0.0000
8 Zr 0.8705 0.5875 0.0000
9 Si 0.0266 0.6913 0.5000
10 Si 0.1175 0.9511 0.5000
11 Si 0.1319 0.5463 0.5000
12 Si 0.2149 0.8058 0.5000
13 Si 0.2851 0.3058 0.5000
14 Si 0.3681 0.0463 0.5000
15 Si 0.3825 0.4511 0.5000
16 Si 0.4734 0.1913 0.5000
17 Si 0.5266 0.8087 0.5000
18 Si 0.6175 0.5489 0.5000
19 Si 0.6319 0.9537 0.5000
20 Si 0.7149 0.6942 0.5000
21 Si 0.7851 0.1942 0.5000
22 Si 0.8681 0.4537 0.5000
23 Si 0.8825 0.0489 0.5000
24 Si 0.9734 0.3087 0.5000



# 6
Density functional theory data (PBE) for crystalline CaAcGd2 at its relaxed geometry.

Computed properties:
DFT formation energy = 0.14 eV per atom
ΔE to the lowest computed polymorph = 0.065 eV per atom
Symmetry = No. 225
DOS at the Fermi energy = 2.362 states/eV/atom

Unit cell a=5.9610 b=5.9610 c=5.9610 alpha=60.00 beta=60.00 gamma=60.00
Sites, in units of the cell vectors:
1 Ca 0.0000 0.0000 0.0000
2 Ac 0.5000 0.5000 0.5000
3 Gd 0.2500 0.2500 0.2500
4 Gd 0.7500 0.7500 0.7500



# 7
Density functional theory data (PBE) for crystalline YThGa4 at its relaxed geometry.

Computed properties:
DFT formation energy = -0.49 eV per atom
ΔE to the lowest computed polymorph = 0.161 eV per atom
Symmetry = No. 216
DOS at the Fermi energy = 0.681 states/eV/atom

Unit cell a=5.6085 b=5.6085 c=5.6085 alpha=60.00 beta=60.00 gamma=60.00
Sites, in units of the cell vectors:
1 Y 0.0000 0.0000 0.0000
2 Th 0.7500 0.7500 0.7500
3 Ga 0.3752 0.3752 0.3752
4 Ga 0.3752 0.3752 0.8743
5 Ga 0.3752 0.8743 0.3752
6 Ga 0.8743 0.3752 0.3752



# 8
Density functional theory data (PBE) for crystalline Pm2OsRh at its relaxed geometry.

Computed properties:
DFT formation energy = -0.29 eV per atom
ΔE to the lowest computed polymorph = 0.000 eV per atom
Symmetry = No. 123
DOS at the Fermi energy = 0.364 states/eV/atom

Unit cell a=3.5056 b=3.5056 c=7.0016 alpha=90.00 beta=90.00 gamma=90.00
Sites, in units of the cell vectors:
1 Pm 0.0000 0.0000 0.2468
2 Pm 0.0000 0.0000 0.7532
3 Os 0.5000 0.5000 0.0000
4 Rh 0.5000 0.5000 0.5000



# 9
Density functional theory data (PBE) for crystalline Pa5Bi5Pd at its relaxed geometry.

Computed properties:
DFT formation energy = 0.02 eV per atom
Symmetry = No. 12
DOS at the Fermi energy = 1.531 states/eV/atom

Unit cell a=6.5649 b=6.5649 c=9.5240 alpha=96.44 beta=96.44 gamma=49.72
Sites, in units of the cell vectors:
1 Pa 0.0000 0.0000 0.0000
2 Pa 0.3023 0.3023 0.0525
3 Pa 0.4275 0.4275 0.8337
4 Pa 0.5725 0.5725 0.1663
5 Pa 0.6977 0.6977 0.9475
6 Bi 0.1517 0.1517 0.7454
7 Bi 0.1733 0.1733 0.3305
8 Bi 0.5000 0.5000 0.5000
9 Bi 0.8267 0.8267 0.6695
10 Bi 0.8483 0.8483 0.2546
11 Pd 0.0000 0.0000 0.5000



# 10
Density functional theory data (PBE) for crystalline UPt2 at its relaxed geometry.

Computed properties:
DFT formation energy = -0.65 eV per atom
Symmetry = No. 139
DOS at the Fermi energy = 1.637 states/eV/atom

Unit cell a=5.1591 b=5.1591 c=5.1591 alpha=139.17 beta=139.17 gamma=59.12
Sites, in units of the cell vectors:
1 U 0.0000 0.0000 0.0000
2 Pt 0.3360 0.3360 0.0000
3 Pt 0.6640 0.6640 0.0000



# 11
Density functional theory data (PBE) for crystalline TaFe2Co at its relaxed geometry.

Computed properties:
DFT formation energy = 0.38 eV per atom
Symmetry = No. 122
DOS at the Fermi energy = 0.927 states/eV/atom

Unit cell a=9.4381 b=9.4381 c=9.4381 alpha=158.81 beta=158.81 gamma=30.14
Sites, in units of the cell vectors:
1 Ta 0.0000 0.0000 0.0000
2 Ta 0.7500 0.2500 0.5000
3 Fe 0.1379 0.6250 0.0129
4 Fe 0.3750 0.3879 0.5129
5 Fe 0.6121 0.1250 0.9871
6 Fe 0.8750 0.8621 0.4871
7 Co 0.2500 0.7500 0.5000
8 Co 0.5000 0.5000 0.0000



# 12
Density functional theory data (PBE) for crystalline Pm3Te3P at its relaxed geometry.

Computed properties:
Symmetry = No. 12
Raw formation energy = -1.214 eV/atom

Unit cell a=8.1051 b=8.1051 c=7.9617 alpha=94.20 beta=94.20 gamma=112.81
Sites, in units of the cell vectors:
1 Pm 0.0712 0.0712 0.2836
2 Pm 0.1810 0.4855 0.7838
3 Pm 0.4855 0.1810 0.7838
4 Pm 0.5145 0.8190 0.2162
5 Pm 0.8190 0.5145 0.2162
6 Pm 0.9288 0.9288 0.7164
7 Te 0.1673 0.8327 0.0000
8 Te 0.2492 0.7508 0.5000
9 Te 0.3757 0.3757 0.1403
10 Te 0.6243 0.6243 0.8597
11 Te 0.7508 0.2492 0.5000
12 Te 0.8327 0.1673 0.0000
13 P 0.2083 0.2083 0.6074
14 P 0.7917 0.7917 0.3926



# 13
Density functional theory data (PBE) for crystalline PmDy3YTh at its relaxed geometry.

Computed properties:
DFT formation energy = 0.13 eV per atom
Symmetry = No. 63
DOS at the Fermi energy = 1.870 states/eV/atom

Unit cell a=6.3102 b=6.3102 c=11.7859 alpha=90.00 beta=90.00 gamma=124.36
Sites, in units of the cell vectors:
1 Pm 0.0024 0.9976 0.7500
2 Pm 0.9976 0.0024 0.2500
3 Dy 0.1768 0.8232 0.0027
4 Dy 0.1768 0.8232 0.4973
5 Dy 0.3337 0.6663 0.2500
6 Dy 0.6663 0.3337 0.7500
7 Dy 0.8232 0.1768 0.5027
8 Dy 0.8232 0.1768 0.9973
9 Y 0.3318 0.6682 0.7500
10 Y 0.6682 0.3318 0.2500
11 Th 0.5000 0.5000 0.0000
12 Th 0.5000 0.5000 0.5000



# 14
Density functional theory data (PBE) for crystalline Li2PaSeO5 at its relaxed geometry.

Computed properties:
Symmetry = No. 140
Raw formation energy = -1.560 eV/atom
DOS at the Fermi energy = 0.333 states/eV/atom

Unit cell a=6.8083 b=6.8083 c=6.8083 alpha=120.46 beta=120.46 gamma=89.21
Sites, in units of the cell vectors:
1 Li 0.2161 0.7161 0.9322
2 Li 0.2839 0.2161 0.5000
3 Li 0.7161 0.7839 0.5000
4 Li 0.7839 0.2839 0.0678
5 Pa 0.2500 0.2500 0.0000
6 Pa 0.7500 0.7500 0.0000
7 Se 0.2500 0.7500 0.5000
8 Se 0.7500 0.2500 0.5000
9 O 0.0000 0.0000 0.0000
10 O 0.0175 0.1743 0.5000
11 O 0.1743 0.6743 0.1568
12 O 0.3257 0.4825 0.5000
13 O 0.4825 0.9825 0.1568
14 O 0.5000 0.5000 0.0000
15 O 0.5175 0.0175 0.8432
16 O 0.6743 0.5175 0.5000
17 O 0.8257 0.3257 0.8432
18 O 0.9825 0.8257 0.5000



# 15
Density functional theory data (PBE) for crystalline ZnInGa2As at its relaxed geometry.

Computed properties:
DFT formation energy = 0.32 eV per atom
Symmetry = No. 123
DOS at the Fermi energy = 0.433 states/eV/atom

Unit cell a=5.0929 b=5.0929 c=4.8639 alpha=90.00 beta=90.00 gamma=90.00
Sites, in units of the cell vectors:
1 Zn 0.0000 0.0000 0.0000
2 In 0.5000 0.5000 0.0000
3 Ga 0.0000 0.5000 0.5000
4 Ga 0.5000 0.0000 0.5000
5 As 0.0000 0.0000 0.5000



# 16
Density functional theory data (PBE) for crystalline KOsIN2 at its relaxed geometry.

Computed properties:
ΔE to the lowest computed polymorph = 2.420 eV per atom
Symmetry = No. 123
Raw formation energy = 2.996 eV/atom
DOS at the Fermi energy = 1.103 states/eV/atom

Unit cell a=4.8667 b=4.8667 c=7.0477 alpha=90.00 beta=90.00 gamma=90.00
Sites, in units of the cell vectors:
1 K 0.0000 0.0000 0.0000
2 Os 0.5000 0.5000 0.5000
3 I 0.0000 0.0000 0.5000
4 N 0.0000 0.5000 0.0000
5 N 0.5000 0.0000 0.0000



# 17
Density functional theory data (PBE) for crystalline Pr2SnPt3 at its relaxed geometry.

Computed properties:
DFT formation energy = -0.92 eV per atom
Symmetry = No. 69
DOS at the Fermi energy = 0.439 states/eV/atom

Unit cell a=9.1452 b=8.8096 c=6.0400 alpha=73.37 beta=67.37 gamma=39.26
Sites, in units of the cell vectors:
1 Pr 0.2378 0.7622 0.7622
2 Pr 0.2500 0.2500 0.2500
3 Pr 0.7500 0.7500 0.7500
4 Pr 0.7622 0.2378 0.2378
5 Sn 0.3343 0.3343 0.6657
6 Sn 0.6657 0.6657 0.3343
7 Pt 0.1661 0.1661 0.8339
8 Pt 0.1671 0.6655 0.3345
9 Pt 0.3345 0.8329 0.1671
10 Pt 0.6655 0.1671 0.8329
11 Pt 0.8329 0.3345 0.6655
12 Pt 0.8339 0.8339 0.1661



# 18
Density functional theory data (PBE) for crystalline DyScTl at its relaxed geometry.

Computed properties:
DFT formation energy = -0.20 eV per atom
ΔE to the lowest computed polymorph = 0.065 eV per atom
Symmetry = No. 107
DOS at the Fermi energy = 1.265 states/eV/atom

Unit cell a=7.0549 b=7.0549 c=7.0549 alpha=151.58 beta=151.58 gamma=40.62
Sites, in units of the cell vectors:
1 Dy 0.0000 0.0000 0.0000
2 Sc 0.6782 0.6782 0.0000
3 Tl 0.3285 0.3285 0.0000



# 19
Density functional theory data (PBE) for crystalline CdSi at its relaxed geometry.

Computed properties:
Symmetry = No. 198
Raw formation energy = 0.552 eV/atom
DOS at the Fermi energy = 0.591 states/eV/atom

Unit cell a=5.4639 b=5.4639 c=5.4639 alpha=90.00 beta=90.00 gamma=90.00
Sites, in units of the cell vectors:
1 Cd 0.0866 0.4134 0.5866
2 Cd 0.4134 0.5866 0.0866
3 Cd 0.5866 0.0866 0.4134
4 Cd 0.9134 0.9134 0.9134
5 Si 0.0975 0.9025 0.4025
6 Si 0.4025 0.0975 0.9025
7 Si 0.5975 0.5975 0.5975
8 Si 0.9025 0.4025 0.0975



# 20
Density functional theory data (PBE) for crystalline GaSbSe3 at its relaxed geometry.

Computed properties:
ΔE to the lowest computed polymorph = 0.000 eV per atom
Symmetry = No. 148
Raw formation energy = -0.320 eV/atom
DOS at the Fermi energy = 0.078 states/eV/atom

Unit cell a=8.2179 b=8.2179 c=8.2179 alpha=49.15 beta=49.15 gamma=49.15
Sites, in units of the cell vectors:
1 Ga 0.0660 0.0660 0.0660
2 Ga 0.9340 0.9340 0.9340
3 Sb 0.3333 0.3333 0.3333
4 Sb 0.6667 0.6667 0.6667
5 Se 0.0835 0.4298 0.7411
6 Se 0.2589 0.9165 0.5702
7 Se 0.4298 0.7411 0.0835
8 Se 0.5702 0.2589 0.9165
9 Se 0.7411 0.0835 0.4298
10 Se 0.9165 0.5702 0.2589



Record-wise M_tot values, in μB per formula unit: 0.00 0.00 1.73 0.00 0.00 15.26 0.00 0.00 0.00 1.46 4.59 0.00 0.00 1.00 0.00 8.86 0.00 0.00 0.00 0.00